[1]
## NaPrAg (PBE-GGA)

Data for crystalline NaPrAg at its relaxed geometry.

Calculated values
- Density of states at the Fermi level: 4.43 states/eV/cell
- Energy above the lowest structure with this stoichiometry: 0 meV per atom
- Space-group type: P4/nmm (129)
- Energy of formation from the pure elements: -0.225 eV/f.u.

Cell: 3.8692 3.8692 11.3148 Å, 89.99 89.99 89.99°
Closest atoms and distances in Å follow each position.
Positions (direct):
Na1 0.7502 0.7502 0.5893  4 Ag 3.24, 4 Na 3.40, 1 Pr 3.41
Na2 0.2498 0.2498 0.4107  4 Ag 3.24, 4 Na 3.40, 1 Pr 3.41
Ag1 0.2502 0.2502 0.7420  4 Pr 3.21, 4 Na 3.24
Ag2 0.7498 0.7498 0.2580  4 Pr 3.21, 4 Na 3.24
Pr1 0.7500 0.7500 0.8910  4 Ag 3.21, 1 Na 3.41
Pr2 0.2500 0.2500 0.1090  4 Ag 3.21, 1 Na 3.41


[2]
## SrLaAg3 (PBE-GGA)

Data for crystalline SrLaAg3 at its relaxed geometry.

Calculated values
- Density of states at the Fermi level: 4.66 states/eV/cell
- Energy above the lowest structure with this stoichiometry: 739 meV per atom
- Space-group type: Pm-3m (221)
- Energy of formation from the pure elements: 2.378 eV/f.u.

Cell: 5.5071 5.5071 5.5071 Å, 90.00 90.00 90.00°
Closest atoms and distances in Å follow each position.
Positions (direct):
Sr1 0.0000 0.0000 0.0000  6 Ag 2.75
Ag1 0.5000 0.0000 0.0000  2 Sr 2.75
Ag2 0.0000 0.5000 0.0000  2 Sr 2.75
Ag3 0.0000 0.0000 0.5000  2 Sr 2.75
La1 0.5000 0.5000 0.5000  12 Ag 3.89


[3]
## Th2ZrTl (PBE-GGA)

Data for crystalline Th2ZrTl at its relaxed geometry.

Calculated values
- Density of states at the Fermi level: 6.76 states/eV/cell
- Energy above the lowest structure with this stoichiometry: 111 meV per atom
- Space-group type: R3m (160)
- Energy of formation from the pure elements: 0.314 eV/f.u.

Cell: 3.4307 3.4307 11.5381 Å, 81.45 81.45 60.00°
Closest atoms and distances in Å follow each position.
Positions (direct):
Th1 0.2517 0.2517 0.2450  3 Zr 3.39, 6 Th 3.43, 3 Tl 3.49
Th2 0.0818 0.0818 0.7547  6 Th 3.43, 3 Zr 3.45, 3 Tl 3.53
Zr1 0.6658 0.6658 0.0027  6 Th 3.39-3.45, 6 Zr 3.43
Tl1 0.5008 0.5008 0.4976  6 Tl 3.43, 6 Th 3.49-3.53


Please write out number 3 again, unchanged.
## Th2ZrTl (PBE-GGA)

Data for crystalline Th2ZrTl at its relaxed geometry.

Calculated values
- Density of states at the Fermi level: 6.76 states/eV/cell
- Energy above the lowest structure with this stoichiometry: 111 meV per atom
- Space-group type: R3m (160)
- Energy of formation from the pure elements: 0.314 eV/f.u.

Cell: 3.4307 3.4307 11.5381 Å, 81.45 81.45 60.00°
Closest atoms and distances in Å follow each position.
Positions (direct):
Th1 0.2517 0.2517 0.2450  3 Zr 3.39, 6 Th 3.43, 3 Tl 3.49
Th2 0.0818 0.0818 0.7547  6 Th 3.43, 3 Zr 3.45, 3 Tl 3.53
Zr1 0.6658 0.6658 0.0027  6 Th 3.39-3.45, 6 Zr 3.43
Tl1 0.5008 0.5008 0.4976  6 Tl 3.43, 6 Th 3.49-3.53


- Among the records above, which one has the highest energy above the lowest structure with this stoichiometry?
  SrLaAg3


- What is the energy of formation from the pure elements in the first record?
  -0.225 eV/f.u.